SiIrSe4 | PBE-GGA | relaxed

a = 5.530 Å, b = 5.530 Å, c = 5.530 Å
α = 60.00°, β = 60.00°, γ = 60.00°
Positions (direct):
Si 0.000 0.000 0.000
Ir 0.750 0.750 0.750
Se 0.377 0.377 0.377
Se 0.377 0.377 0.868
Se 0.377 0.868 0.377
Se 0.868 0.377 0.377

Results
- E_form (uncorrected) (eV per formula unit) = 7.45
- V (Å³/cell) = 120